{
  "formula": "Pm3Sn",
  "functional": "PBE",
  "state": "relaxed",
  "cell": [[3.643, 0.000, 0.000], [0.000, 5.990, 0.000], [-1.822, -2.995, 5.650]],
  "species": ["Sn", "Pm", "Pm", "Pm"],
  "fractional_positions": [[0.000, 0.014, 0.000], [0.272, 0.611, 0.543], [0.500, 0.474, 0.000], [0.728, 0.068, 0.457]],
  "de_polymorph_ev_per_fu": 0.359
}

=====

{
  "formula": "CrTc",
  "functional": "PBE",
  "state": "relaxed",
  "cell": [[7.358, 0.000, 0.000], [0.000, 7.358, 0.000], [0.000, 0.000, 7.358]],
  "species": ["Cr", "Cr", "Cr", "Cr", "Cr", "Cr", "Cr", "Cr", "Tc", "Tc", "Tc", "Tc", "Tc", "Tc", "Tc", "Tc"],
  "fractional_positions": [[0.188, 0.188, 0.188], [0.188, 0.812, 0.812], [0.812, 0.188, 0.812], [0.812, 0.812, 0.188], [0.688, 0.688, 0.688], [0.688, 0.312, 0.312], [0.312, 0.688, 0.312], [0.312, 0.312, 0.688], [0.364, 0.364, 0.364], [0.364, 0.636, 0.636], [0.636, 0.364, 0.636], [0.636, 0.636, 0.364], [0.864, 0.864, 0.864], [0.864, 0.136, 0.136], [0.136, 0.864, 0.136], [0.136, 0.136, 0.864]],
  "energy_ev_per_atom": -8.179
}

=====

{
  "formula": "LaSbRu2C",
  "functional": "PBE",
  "state": "relaxed",
  "cell": [[-0.512, 2.692, -4.139], [-2.828, -2.979, -1.587], [-3.770, 2.473, 2.075]],
  "species": ["Sb", "C", "Ru", "Ru", "La"],
  "fractional_positions": [[0.500, 0.500, 0.500], [0.000, 0.500, 0.000], [0.000, 0.000, 0.500], [0.500, 0.000, 0.000], [0.000, 0.000, 0.000]],
  "energy_ev_per_atom": -5.378
}

=====

{
  "formula": "CaTh2S4",
  "functional": "PBE",
  "state": "relaxed",
  "cell": [[-3.126, 2.329, 0.673], [-1.146, -3.138, -6.087], [-6.208, -10.191, 6.422]],
  "species": ["Ca", "Ca", "Th", "Th", "Th", "Th", "S", "S", "S", "S", "S", "S", "S", "S"],
  "fractional_positions": [[0.618, 0.236, 0.750], [0.382, 0.764, 0.250], [0.132, 0.264, 0.432], [0.868, 0.736, 0.932], [0.132, 0.264, 0.068], [0.868, 0.736, 0.568], [0.776, 0.552, 0.124], [0.776, 0.552, 0.376], [0.224, 0.448, 0.876], [0.224, 0.448, 0.624], [0.968, 0.937, 0.750], [0.032, 0.063, 0.250], [0.500, 0.000, 0.000], [0.500, 0.000, 0.500]],
  "energy_ev_per_atom": -6.659
}

=====

{
  "formula": "Ba2Ag3SnHg4",
  "functional": "PBE",
  "state": "relaxed",
  "cell": [[4.833, 0.000, 0.000], [0.000, 4.833, 0.000], [0.000, 0.000, 12.118]],
  "species": ["Ba", "Ba", "Ag", "Ag", "Ag", "Sn", "Hg", "Hg", "Hg", "Hg"],
  "fractional_positions": [[0.500, 0.000, 0.249], [0.000, 0.500, 0.751], [0.000, 0.000, 0.500], [0.500, 0.000, 0.868], [0.000, 0.500, 0.132], [0.500, 0.500, 0.500], [0.500, 0.500, 0.000], [0.000, 0.000, 0.000], [0.500, 0.000, 0.639], [0.000, 0.500, 0.361]],
  "energy_ev_per_atom": -2.052
}

=====

{
  "formula": "CeYInPb",
  "functional": "PBE",
  "state": "relaxed",
  "cell": [[5.455, 0.000, 0.000], [2.728, 4.724, 0.000], [2.728, 1.575, 4.454]],
  "species": ["Pb", "Y", "Ce", "In"],
  "fractional_positions": [[0.500, 0.500, 0.500], [0.750, 0.750, 0.750], [0.250, 0.250, 0.250], [0.000, 0.000, 0.000]],
  "de_polymorph_ev_per_fu": 0.122
}

=====

{
  "formula": "Sr2CoIr",
  "functional": "PBE",
  "state": "relaxed",
  "cell": [[-2.047, -3.658, 0.803], [3.972, -1.853, 1.682], [0.737, 0.850, 5.747]],
  "species": ["Co", "Ir", "Sr", "Sr"],
  "fractional_positions": [[0.000, 0.666, 0.543], [0.500, 0.581, 0.713], [0.000, 0.983, 0.908], [0.500, 0.269, 0.336]],
  "energy_ev_per_atom": -4.865
}

=====

{
  "formula": "BaHg4",
  "functional": "PBE",
  "state": "relaxed",
  "cell": [[-2.351, 5.636, 4.274], [1.181, 0.714, 7.325], [3.465, -1.498, -6.427]],
  "species": ["Ba", "Hg", "Hg", "Hg", "Hg"],
  "fractional_positions": [[0.000, 0.000, 0.000], [0.250, 0.750, 0.500], [0.750, 0.250, 0.500], [0.611, 0.611, 0.000], [0.389, 0.389, 0.000]],
  "de_polymorph_ev_per_fu": 0.203
}